[1]
First-principles (SCAN) data for a PBEsol-optimized structure of Mo2RhSeI, as listed in the Alexandria database.

abc: 4.6901 4.6901 4.5015
angles: 90.00 90.00 90.00
Space group P4/mmm (No. 123)
Asymmetric unit:
1 Mo 0.0000 0.5000 0.0000
2 Rh 0.0000 0.0000 0.5000
3 Se 0.0000 0.0000 0.0000
4 I 0.5000 0.5000 0.5000

Properties
For the spin magnetization, the calculation gives 3.52 Bohr magnetons per cell. The value obtained for the total energy is -30.870 eV/atom. Its uncorrected formation energy is 6.0 eV per formula unit.



[2]
First-principles (SCAN) data for a PBEsol-optimized structure of MoRuI2, as listed in the Alexandria database.

abc: 6.6716 6.6716 6.6716
angles: 90.00 90.00 90.00
Space group Fm-3m (No. 225)
Asymmetric unit:
1 Mo 0.0000 0.0000 0.0000
2 Ru 0.0000 0.0000 0.5000
3 I 0.2500 0.2500 0.2500

Properties
For the spin magnetization, the calculation gives 0.00 Bohr magnetons per cell. The value obtained for the total energy is -34.594 eV/atom. Its uncorrected formation energy is 4.8 eV per formula unit.



Question: Which value of spin magnetization does entry 1 give?
Answer: 3.52 Bohr magnetons per cell



Question: Among the records above, which one has the lowest spin magnetization?
Answer: MoRuI2



What did the first record say?
First-principles (SCAN) data for a PBEsol-optimized structure of Mo2RhSeI, as listed in the Alexandria database.

abc: 4.6901 4.6901 4.5015
angles: 90.00 90.00 90.00
Space group P4/mmm (No. 123)
Asymmetric unit:
1 Mo 0.0000 0.5000 0.0000
2 Rh 0.0000 0.0000 0.5000
3 Se 0.0000 0.0000 0.0000
4 I 0.5000 0.5000 0.5000

Properties
For the spin magnetization, the calculation gives 3.52 Bohr magnetons per cell. The value obtained for the total energy is -30.870 eV/atom. Its uncorrected formation energy is 6.0 eV per formula unit.